Compound: Pu2In8Hg
Source: the Alexandria database
Functional: GGA-PBE
Structure: optimized geometry

POSCAR file:
```
Pu2In8Hg
1.0
4.809 0.000 -0.051
0.000 4.809 0.052
0.130 -0.131 12.379
In Hg Pu
8 1 2
Direct
0.000 0.500 0.858
0.500 0.500 0.682
0.500 0.000 0.142
0.000 0.500 0.142
0.500 0.500 0.318
0.500 0.000 0.858
0.000 0.500 0.500
0.500 0.000 0.500
0.000 0.000 0.000
0.000 0.000 0.315
0.000 0.000 0.685
```

- energy relative to the elements (kJ per mole of atoms) = -11.84
- E_tot (eV per cell) = -52.22
- DOS(E_F) (states/eV/atom) = 2.150
- total magnetization (μB/atom) = 1.017